[1]
Crystalline CsZrAgTe3 at its relaxed geometry. Source: OQMD via LeMat-Bulk, functional PBE.

Geometry as POSCAR:
```
CsZrAgTe3
1.0
8.544 0.000 0.000
0.000 4.950 0.000
0.000 0.000 18.093
Cs Zr Ag Te
4 4 4 12
direct
0.116 0.250 0.179
0.384 0.750 0.679
0.616 0.250 0.321
0.884 0.750 0.821
0.246 0.250 0.953
0.254 0.750 0.453
0.746 0.250 0.547
0.754 0.750 0.047
0.017 0.250 0.663
0.483 0.750 0.163
0.517 0.250 0.837
0.983 0.750 0.337
0.000 0.250 0.425
0.000 0.750 0.575
0.123 0.750 0.019
0.191 0.250 0.800
0.309 0.750 0.300
0.377 0.250 0.519
0.500 0.250 0.075
0.500 0.750 0.925
0.623 0.750 0.481
0.691 0.250 0.700
0.809 0.750 0.200
0.877 0.250 0.981
```

Calculated values
Calculated total energy   -4.27 eV/atom
SG   Pnma, No. 62

---

[2]
Crystalline CsZrAgTe3 at its relaxed geometry. Source: OQMD via LeMat-Bulk, functional PBE.

Geometry as POSCAR:
```
CsZrAgTe3
1.0
11.547 0.000 0.000
0.000 4.252 0.000
0.000 0.000 16.833
Cs Zr Ag Te
4 4 4 12
direct
0.238 0.250 0.003
0.262 0.750 0.503
0.738 0.250 0.497
0.762 0.750 0.997
0.037 0.750 0.751
0.463 0.250 0.251
0.537 0.750 0.749
0.963 0.250 0.249
0.247 0.250 0.704
0.253 0.750 0.204
0.747 0.250 0.796
0.753 0.750 0.296
0.034 0.750 0.136
0.038 0.250 0.628
0.236 0.250 0.312
0.264 0.750 0.812
0.462 0.750 0.128
0.466 0.250 0.636
0.534 0.750 0.364
0.538 0.250 0.872
0.736 0.250 0.188
0.764 0.750 0.688
0.962 0.750 0.372
0.966 0.250 0.864
```

Calculated values
Calculated total energy   -4.40 eV/atom
SG   Pnma, No. 62

---

[3]
Crystalline CsZrAgTe3 at its relaxed geometry. Source: OQMD via LeMat-Bulk, functional PBE.

Geometry as POSCAR:
```
CsZrAgTe3
1.0
17.012 0.000 0.000
0.000 4.288 0.000
0.000 0.000 11.424
Cs Zr Ag Te
4 4 4 12
direct
0.237 0.250 0.046
0.263 0.750 0.546
0.737 0.250 0.454
0.763 0.750 0.954
0.016 0.250 0.323
0.484 0.750 0.823
0.516 0.250 0.177
0.984 0.750 0.677
0.014 0.750 0.094
0.486 0.250 0.594
0.514 0.750 0.406
0.986 0.250 0.906
0.081 0.250 0.568
0.093 0.750 0.865
0.130 0.750 0.269
0.370 0.250 0.769
0.407 0.250 0.365
0.419 0.750 0.068
0.581 0.250 0.932
0.593 0.750 0.635
0.630 0.750 0.231
0.870 0.250 0.731
0.907 0.250 0.135
0.919 0.750 0.432
```

Calculated values
Calculated total energy   -4.43 eV/atom
SG   Pnma, No. 62

---

[4]
Crystalline CsThAg at its relaxed geometry. Source: OQMD via LeMat-Bulk, functional PBE.

Geometry as POSCAR:
```
CsThAg
1.0
0.000 3.655 3.655
3.655 0.000 3.655
3.655 3.655 0.000
Cs Th Ag
1 1 1
direct
0.000 0.000 0.000
0.250 0.250 0.250
0.750 0.750 0.750
```

Calculated values
SG   F-43m, No. 216
Offset from the most stable computed form   323.0 meV per atom

---

[5]
Crystalline CsThAg at its relaxed geometry. Source: OQMD via LeMat-Bulk, functional PBE.

Geometry as POSCAR:
```
CsThAg
1.0
0.000 3.854 3.854
3.854 0.000 3.854
3.854 3.854 0.000
Cs Th Ag
1 1 1
direct
0.000 0.000 0.000
0.500 0.500 0.500
0.750 0.750 0.750
```

Calculated values
SG   F-43m, No. 216
Offset from the most stable computed form   0.0 meV per atom

---

[6]
Crystalline CsTl6Ag4 at its relaxed geometry. Source: OQMD via LeMat-Bulk, functional PBE.

Geometry as POSCAR:
```
CsTl6Ag4
1.0
8.459 0.000 0.000
-4.229 7.326 0.000
0.000 0.000 4.919
Cs Tl Ag
1 6 4
direct
0.000 0.000 0.000
0.199 0.397 0.500
0.199 0.801 0.500
0.534 0.068 0.000
0.534 0.466 0.000
0.603 0.801 0.500
0.932 0.466 0.000
0.333 0.667 0.000
0.433 0.216 0.500
0.784 0.216 0.500
0.784 0.567 0.500
```

Calculated values
Calculated total energy   -2.38 eV/atom
SG   P-6m2, No. 187

---

[7]
Crystalline CsTlAg at its relaxed geometry. Source: OQMD via LeMat-Bulk, functional PBE.

Geometry as POSCAR:
```
CsTlAg
1.0
0.000 4.211 4.211
4.211 0.000 4.211
4.211 4.211 0.000
Cs Tl Ag
1 1 1
direct
0.000 0.000 0.000
0.250 0.250 0.250
0.750 0.750 0.750
```

Calculated values
SG   F-43m, No. 216
Offset from the most stable computed form   525.5 meV per atom

---

[8]
Crystalline CsTlAg at its relaxed geometry. Source: OQMD via LeMat-Bulk, functional PBE.

Geometry as POSCAR:
```
CsTlAg
1.0
0.000 4.021 4.021
4.021 0.000 4.021
4.021 4.021 0.000
Cs Tl Ag
1 1 1
direct
0.000 0.000 0.000
0.500 0.500 0.500
0.250 0.250 0.250
```

Calculated values
SG   F-43m, No. 216
Offset from the most stable computed form   254.5 meV per atom